(1)
The following is a DFT calculation (PBE-GGA) of a relaxed structure of La2AlMoPb.

Lattice parameters (Å, degrees): 6.029 5.187 6.029 90.00 90.00 90.00
Site moments in Bohr magnetons follow the coordinates.
Fractional coordinates of all 5 atoms:
1 Pb 0.000 0.000 0.000  -0.05
2 La 0.000 0.000 0.500  -0.07
3 La 0.500 0.000 0.000  -0.07
4 Mo 0.000 0.500 0.000  2.26
5 Al 0.500 0.500 0.500  -0.04

For the total magnetization, the calculation gives 2.1 Bohr magnetons per cell. For the formation energy from the elements, the calculation gives 21.9 kcal/mol of atoms. As for the space-group type: No. 123.



(2)
The following is a DFT calculation (PBE-GGA) of a relaxed structure of LaAlMo2Ru.

Lattice parameters (Å, degrees): 4.847 4.720 4.847 90.00 90.00 90.00
Site moments in Bohr magnetons follow the coordinates.
Fractional coordinates of all 5 atoms:
1 Ru 0.000 0.500 0.000  0.19
2 Mo 0.500 0.000 0.000  0.75
3 Mo 0.000 0.000 0.500  0.66
4 Al 0.500 0.500 0.500  -0.03
5 La 0.000 0.000 0.000  0.03

For the total magnetization, the calculation gives 1.8 Bohr magnetons per cell. For the formation energy from the elements, the calculation gives 48.7 kcal/mol of atoms. As for the space-group type: No. 123.